[1]
Computed, not measured: a relaxed LiTbTmTe3 crystal at the PBE-GGA level of DFT.

Values from the calculation:
Crystal system ... monoclinic
ΔE_f (raw) ... -1212 meV per atom
VASP energy ... -55.43 eV/cell
D(E_F) ... 5.69 states/eV/cell
V ... 170 Å³/f.u.

Cell: 4.2061 8.8090 9.4367 Å, 103.85 90.00 90.00°
Last column: nearest neighbours and their distance in Å.
Positions (direct):
Tm: 0.2500 0.6686 0.1646  6 Te 3.01-3.10
Tm: 0.7500 0.3314 0.8354  6 Te 3.01-3.10
Te: 0.7500 0.2389 0.4975  3 Li 2.73-2.77
Te: 0.7500 0.9095 0.1233  1 Li 2.74
Te: 0.2500 0.7611 0.5025  3 Li 2.73-2.77
Te: 0.2500 0.0905 0.8767  1 Li 2.74
Te: 0.2500 0.5747 0.8298  3 Tm 3.01-3.07, 2 Tb 3.12
Te: 0.7500 0.4253 0.1702  3 Tm 3.01-3.07, 2 Tb 3.12
Tb: 0.2500 0.1873 0.2329  7 Te 3.12-3.26
Tb: 0.7500 0.8127 0.7671  7 Te 3.12-3.26
Li: 0.7500 0.9149 0.4152  4 Te 2.73-2.77, 2 Li 2.84
Li: 0.2500 0.0851 0.5848  4 Te 2.73-2.77, 2 Li 2.84

[2]
Computed, not measured: a relaxed ErPu4S5 crystal at the PBE-GGA level of DFT.

Values from the calculation:
Crystal system ... tetragonal
ΔE_f (raw) ... -1806 meV per atom
VASP energy ... -100.59 eV/cell
D(E_F) ... 33.56 states/eV/cell
V ... 216 Å³/f.u.

Cell: 3.9446 3.9446 14.1901 Å, 97.99 97.99 90.00°
Last column: nearest neighbours and their distance in Å.
Positions (direct):
Er: 0.0000 0.0000 0.0000  6 S 2.75-2.79
S: 0.3003 0.3003 0.6005  6 Pu 2.79-2.80
S: 0.5000 0.5000 0.0000  2 Pu 2.76, 4 Er 2.79
S: 0.6997 0.6997 0.3995  6 Pu 2.79-2.80
S: 0.0987 0.0987 0.1973  1 Er 2.75, 5 Pu 2.79-2.81
S: 0.9013 0.9013 0.8027  1 Er 2.75, 5 Pu 2.79-2.81
Pu: 0.4008 0.4008 0.8017  6 S 2.76-2.80
Pu: 0.8004 0.8004 0.6008  6 S 2.79-2.81
Pu: 0.1996 0.1996 0.3992  6 S 2.79-2.81
Pu: 0.5992 0.5992 0.1983  6 S 2.76-2.80

[3]
Computed, not measured: a relaxed Ce3TiTl3Se8 crystal at the PBE-GGA level of DFT.

Values from the calculation:
Crystal system ... trigonal
ΔE_f (raw) ... -1254 meV per atom
VASP energy ... -79.49 eV/cell
D(E_F) ... 22.25 states/eV/cell
V ... 472 Å³/f.u.

Cell: 8.3362 8.3341 9.1982 Å, 116.93 90.00 120.01°
Last column: nearest neighbours and their distance in Å.
Positions (direct):
Se: 0.7601 0.9772 0.6944  1 Ti 2.68, 2 Ce 2.94
Se: 0.7376 0.4751 0.7128  3 Ce 2.93
Se: 0.2399 0.0228 0.3056  1 Ti 2.68, 2 Ce 2.94
Se: 0.2171 0.9772 0.6943  1 Ti 2.68, 2 Ce 2.94
Se: 0.7829 0.0228 0.3057  1 Ti 2.68, 2 Ce 2.94
Se: 0.2173 0.4346 0.6944  1 Ti 2.68, 2 Ce 2.94
Se: 0.7827 0.5654 0.3056  1 Ti 2.68, 2 Ce 2.94
Se: 0.2624 0.5249 0.2872  3 Ce 2.93
Tl: 0.0000 0.0000 0.0000  6 Se 3.30-3.33
Tl: 0.0000 0.5000 0.0000  6 Se 3.30-3.33
Tl: 0.5000 0.5000 0.0000  6 Se 3.30-3.33
Ce: 0.5000 0.0000 0.5000  6 Se 2.93-2.94
Ce: 0.5000 0.5000 0.5000  6 Se 2.93-2.94
Ce: 0.0000 0.5000 0.5000  6 Se 2.93-2.94
Ti: 0.0000 0.0000 0.5000  6 Se 2.68

[4]
Computed, not measured: a relaxed CaTaTeI2 crystal at the PBE-GGA level of DFT.

Values from the calculation:
Crystal system ... tetragonal
ΔE_f (raw) ... -61 meV per atom
VASP energy ... -20.40 eV/cell
D(E_F) ... 4.30 states/eV/cell
V ... 178 Å³/f.u.

Cell: 5.7188 5.7188 5.4368 Å, 90.00 90.00 90.00°
Last column: nearest neighbours and their distance in Å.
Positions (direct):
I: 0.5000 0.0000 0.0000  2 Ta 2.86
I: 0.0000 0.5000 0.0000  2 Ta 2.86
Ca: 0.5000 0.5000 0.5000  8 I 3.95, 4 Te 4.04
Ta: 0.0000 0.0000 0.0000  2 Te 2.72, 4 I 2.86
Te: 0.0000 0.0000 0.5000  2 Ta 2.72

[5]
Computed, not measured: a relaxed SrFe3As crystal at the PBE-GGA level of DFT.

Values from the calculation:
Crystal system ... cubic
VASP energy ... -29.66 eV/cell
D(E_F) ... 8.12 states/eV/cell
V ... 98 Å³/f.u.

Cell: 4.6123 4.6123 4.6123 Å, 90.00 90.00 90.00°
Last column: nearest neighbours and their distance in Å.
Positions (direct):
Sr: 0.5000 0.5000 0.5000  12 Fe 3.26
Fe: 0.0000 0.0000 0.5000  2 As 2.31
Fe: 0.5000 0.0000 0.0000  2 As 2.31
Fe: 0.0000 0.5000 0.0000  2 As 2.31
As: 0.0000 0.0000 0.0000  6 Fe 2.31

[6]
Computed, not measured: a relaxed YAgMo2 crystal at the PBE-GGA level of DFT.

Values from the calculation:
Crystal system ... monoclinic
VASP energy ... -28.95 eV/cell
D(E_F) ... 4.50 states/eV/cell
V ... 75 Å³/f.u.

Cell: 5.2991 5.7802 2.8310 Å, 79.72 81.67 115.02°
Last column: nearest neighbours and their distance in Å.
Positions (direct):
Ag: 0.5000 0.5000 0.0000  2 Y 2.82, 2 Ag 2.83, 4 Mo 2.98
Mo: 0.0000 0.0000 0.0000  4 Mo 2.82-2.83, 2 Y 2.98, 2 Ag 2.98
Mo: 0.5000 0.0000 0.5000  4 Mo 2.82-2.83, 2 Ag 2.98, 2 Y 2.98
Y: 0.0000 0.5000 0.5000  2 Ag 2.82, 2 Y 2.83, 4 Mo 2.98

[7]
Computed, not measured: a relaxed LiHoPd crystal at the PBE-GGA level of DFT.

Values from the calculation:
Crystal system ... hexagonal
VASP energy ... -13.15 eV/cell
D(E_F) ... 1.51 states/eV/cell
V ... 59 Å³/f.u.

Cell: 3.6350 4.3406 4.3406 Å, 120.00 90.00 90.00°
Last column: nearest neighbours and their distance in Å.
Positions (direct):
Li: 0.1665 0.0000 0.0000  3 Pd 2.51
Ho: 0.6665 0.6667 0.3333  6 Pd 3.09-3.10, 6 Li 3.10
Pd: 0.1670 0.3333 0.6667  3 Li 2.51

[8]
Computed, not measured: a relaxed CsScAsBr2 crystal at the PBE-GGA level of DFT.

Values from the calculation:
Crystal system ... tetragonal
ΔE_f (raw) ... -1142 meV per atom
VASP energy ... -20.89 eV/cell
D(E_F) ... 3.46 states/eV/cell
V ... 164 Å³/f.u.

Cell: 5.5472 5.5472 5.3235 Å, 90.00 90.00 90.00°
Last column: nearest neighbours and their distance in Å.
Positions (direct):
Br: 0.0000 0.5000 0.0000  2 Sc 2.77
Br: 0.5000 0.0000 0.0000  2 Sc 2.77
As: 0.0000 0.0000 0.5000  2 Sc 2.66
Cs: 0.5000 0.5000 0.5000  8 Br 3.84, 4 As 3.92
Sc: 0.0000 0.0000 0.0000  2 As 2.66, 4 Br 2.77

[9]
Computed, not measured: a relaxed BaWSe2 crystal at the PBE-GGA level of DFT.

Values from the calculation:
Crystal system ... monoclinic
ΔE_f (raw) ... -446 meV per atom
VASP energy ... -23.63 eV/cell
D(E_F) ... 2.67 states/eV/cell
V ... 98 Å³/f.u.

Cell: 4.2345 4.2345 7.4388 Å, 70.54 70.54 52.09°
Last column: nearest neighbours and their distance in Å.
Positions (direct):
Ba: 0.2257 0.2257 0.2659  6 Se 3.16-3.34
Se: 0.7971 0.7971 0.5759  3 W 2.57-2.60
Se: 0.0439 0.0439 0.9274  3 W 2.69-2.78
W: 0.4333 0.4333 0.7309  6 Se 2.57-2.78

[10]
Computed, not measured: a relaxed NaHoH2 crystal at the PBE-GGA level of DFT.

Values from the calculation:
Crystal system ... trigonal
VASP energy ... -13.77 eV/cell
D(E_F) ... 0.92 states/eV/cell
V ... 67 Å³/f.u.

Cell: 3.5482 3.5482 6.5009 Å, 74.16 74.16 60.00°
Last column: nearest neighbours and their distance in Å.
Positions (direct):
H: 0.7116 0.7116 0.8653  3 Ho 2.21
H: 0.2884 0.2884 0.1347  3 Ho 2.21
Ho: 0.0000 0.0000 0.0000  6 H 2.21
Na: 0.5000 0.5000 0.5000  6 H 3.05

[11]
Computed, not measured: a relaxed Sr3Te crystal at the PBE-GGA level of DFT.

Values from the calculation:
Crystal system ... orthorhombic
ΔE_f (raw) ... -739 meV per atom
VASP energy ... -11.14 eV/cell
D(E_F) ... 3.42 states/eV/cell
V ... 179 Å³/f.u.

Cell: 4.1155 4.1155 10.5907 Å, 90.00 90.00 90.15°
Last column: nearest neighbours and their distance in Å.
Positions (direct):
Te: 0.5000 0.5000 0.2500  8 Sr 3.50
Sr: 0.0000 0.0000 0.0661  4 Te 3.50, 1 Sr 3.89
Sr: 0.5000 0.5000 0.7500  12 Sr 4.12-4.44
Sr: 0.0000 0.0000 0.4339  4 Te 3.50, 1 Sr 3.89

[12]
Computed, not measured: a relaxed ZrAuCl4 crystal at the PBE-GGA level of DFT.

Values from the calculation:
Crystal system ... cubic
ΔE_f (raw) ... 394 meV per atom
VASP energy ... -16.85 eV/cell
D(E_F) ... 5.84 states/eV/cell
V ... 126 Å³/f.u.

Cell: 5.6239 5.6239 5.6239 Å, 60.00 60.00 60.00°
Last column: nearest neighbours and their distance in Å.
Positions (direct):
Cl: 0.3752 0.3752 0.8745  6 Cl 2.81-2.82
Cl: 0.3752 0.3752 0.3752  6 Cl 2.81-2.82
Cl: 0.3752 0.8745 0.3752  6 Cl 2.81-2.82
Cl: 0.8745 0.3752 0.3752  6 Cl 2.81-2.82
Au: 0.0000 0.0000 0.0000  12 Cl 3.30, 4 Zr 3.44
Zr: 0.7500 0.7500 0.7500  12 Cl 3.30, 4 Au 3.44

[13]
Computed, not measured: a relaxed CdSiBr2 crystal at the PBE-GGA level of DFT.

Values from the calculation:
Crystal system ... orthorhombic
ΔE_f (raw) ... -128 meV per atom
VASP energy ... -10.20 eV/cell
D(E_F) ... 1.98 states/eV/cell
V ... 122 Å³/f.u.

Cell: 3.6139 3.8120 8.8772 Å, 90.00 90.00 90.00°
Last column: nearest neighbours and their distance in Å.
Positions (direct):
Cd: 0.0000 0.0000 0.6766  1 Br 2.53
Br: 0.0000 0.0000 0.9612  1 Cd 2.53
Br: 0.5000 0.5000 0.3064  1 Si 2.21
Si: 0.5000 0.5000 0.5558  1 Br 2.21

[14]
Computed, not measured: a relaxed GaAg2S crystal at the PBE-GGA level of DFT.

Values from the calculation:
Crystal system ... trigonal
ΔE_f (raw) ... 292 meV per atom
VASP energy ... -11.69 eV/cell
D(E_F) ... 3.02 states/eV/cell
V ... 78 Å³/f.u.

Cell: 3.1273 3.1273 9.3334 Å, 80.36 80.36 60.00°
Last column: nearest neighbours and their distance in Å.
Positions (direct):
Ag: 0.9065 0.9065 0.2805  1 Ga 2.57, 3 S 2.70
Ag: 0.0935 0.0935 0.7195  1 Ga 2.57, 3 S 2.70
S: 0.5000 0.5000 0.5000  6 Ag 2.70
Ga: 0.0000 0.0000 0.0000  2 Ag 2.57